No. 1
ZnBrF6 PBE optimized geometry; final energy = -3.006 eV/atom
1.0
4.908 0.123 -0.963
-1.370 4.714 -0.963
0.696 0.952 6.058
Br F Zn
1 6 1
Direct
0.000 0.000 0.500
0.757 0.757 0.137
0.054 0.721 0.680
0.243 0.243 0.863
0.279 0.946 0.320
0.721 0.054 0.680
0.946 0.279 0.320
0.000 0.000 0.000



No. 2
ZnBr3F PBE optimized geometry; energy above the lowest structure with this stoichiometry = 0.00 kJ/mol of atoms; final energy = -1.743 eV/atom; density of states at the Fermi level = 1.777 states/eV per atom
1.0
-0.171 4.237 -2.888
-2.571 -2.571 -3.619
-4.436 1.327 2.209
Br F Zn
3 1 1
Direct
0.000 0.000 0.500
0.500 0.000 0.000
0.000 0.500 0.000
0.500 0.500 0.500
0.000 0.000 0.000



No. 3
Zn3BrF PBE optimized geometry; energy above the lowest structure with this stoichiometry = 0.00 kJ/mol of atoms; final energy = -1.600 eV/atom; density of states at the Fermi level = 0.952 states/eV per atom
1.0
4.725 0.000 0.000
0.000 4.725 0.000
0.000 0.000 4.725
F Br Zn
1 1 3
Direct
0.000 0.000 0.000
0.500 0.500 0.500
0.500 0.000 0.000
0.000 0.500 0.000
0.000 0.000 0.500



No. 4
ZnBrF PBE optimized geometry; energy above the lowest structure with this stoichiometry = 0.00 kJ/mol of atoms; final energy = -3.178 eV/atom; density of states at the Fermi level = 0.000 states/eV per atom
1.0
5.607 0.000 0.000
0.000 7.539 0.702
0.000 -2.892 7.858
Zn Br F
4 4 4
Direct
0.695 0.705 0.855
0.195 0.795 0.145
0.805 0.205 0.855
0.305 0.295 0.145
0.154 0.106 0.315
0.346 0.606 0.315
0.654 0.394 0.685
0.846 0.894 0.685
0.385 0.788 0.950
0.115 0.288 0.950
0.885 0.712 0.050
0.615 0.212 0.050



No. 5
ZnBrF PBE optimized geometry; energy above the lowest structure with this stoichiometry = 17.25 kJ/mol of atoms; final energy = -2.999 eV/atom; density of states at the Fermi level = 0.000 states/eV per atom
1.0
3.532 0.000 0.000
-1.766 3.059 0.000
0.000 0.000 5.714
Zn F Br
1 1 1
Direct
0.667 0.333 0.372
0.333 0.667 0.526
0.000 0.000 0.101



No. 6
Zn2BrF PBE optimized geometry; energy above the lowest structure with this stoichiometry = 28.50 kJ/mol of atoms; final energy = -1.922 eV/atom; density of states at the Fermi level = 0.403 states/eV per atom
1.0
0.000 3.288 3.288
3.288 0.000 3.288
3.288 3.288 0.000
F Zn Br
1 2 1
Direct
0.000 0.000 0.000
0.750 0.750 0.750
0.250 0.250 0.250
0.500 0.500 0.500



No. 7
ZnBrF PBE optimized geometry; energy above the lowest structure with this stoichiometry = 8.78 kJ/mol of atoms; final energy = -3.087 eV/atom; density of states at the Fermi level = 0.000 states/eV per atom
1.0
9.476 -1.916 0.387
9.476 1.916 0.387
8.955 0.000 3.664
Zn F Br
2 2 2
Direct
0.617 0.617 0.617
0.383 0.383 0.383
0.311 0.311 0.311
0.689 0.689 0.689
0.099 0.099 0.099
0.901 0.901 0.901



No. 8
Zn2BrF PBE optimized geometry; energy above the lowest structure with this stoichiometry = 0.00 kJ/mol of atoms; final energy = -2.218 eV/atom; density of states at the Fermi level = 0.393 states/eV per atom
1.0
4.880 0.000 0.000
0.000 4.880 0.000
2.440 2.440 7.176
Zn F Br
4 2 2
Direct
0.498 0.125 0.250
0.375 0.502 0.750
0.252 0.625 0.250
0.875 0.748 0.750
0.250 0.750 0.500
0.500 0.500 0.000
0.750 0.250 0.500
0.000 0.000 0.000



No. 9
ZrBrF PBE optimized geometry; final energy = -5.760 eV/atom; density of states at the Fermi level = 0.637 states/eV per atom
1.0
-3.957 -1.485 1.232
2.092 -4.987 0.710
2.236 2.366 10.036
Zr Br F
4 4 4
Direct
0.250 0.500 0.097
0.750 0.000 0.597
0.250 0.000 0.403
0.750 0.500 0.903
0.750 0.500 0.633
0.250 0.000 0.133
0.750 0.000 0.867
0.250 0.500 0.367
0.750 0.500 0.123
0.250 0.000 0.623
0.250 0.500 0.877
0.750 0.000 0.377



No. 10
ZrBrF2 PBE optimized geometry; energy above the lowest structure with this stoichiometry = 54.99 kJ/mol of atoms; final energy = -5.182 eV/atom; density of states at the Fermi level = 0.576 states/eV per atom
1.0
0.000 3.064 3.064
3.064 0.000 3.064
3.064 3.064 0.000
Zr Br F
1 1 2
Direct
0.500 0.500 0.500
0.000 0.000 0.000
0.750 0.750 0.750
0.250 0.250 0.250



No. 11
ZrBrF2 PBE optimized geometry; energy above the lowest structure with this stoichiometry = 0.00 kJ/mol of atoms; final energy = -5.752 eV/atom; density of states at the Fermi level = 0.560 states/eV per atom
1.0
-2.338 2.338 7.017
2.338 -2.338 7.017
2.338 2.338 -7.017
Zr Br F
2 2 4
Direct
0.000 0.000 0.000
0.750 0.250 0.500
0.250 0.750 0.500
0.500 0.500 0.000
0.875 0.625 0.750
0.375 0.125 0.250
0.875 0.125 0.750
0.875 0.125 0.250



No. 12
ZrBrF2 PBE optimized geometry; energy above the lowest structure with this stoichiometry = 31.13 kJ/mol of atoms; final energy = -5.429 eV/atom; density of states at the Fermi level = 0.617 states/eV per atom
1.0
10.404 -0.001 -0.001
9.962 2.999 -0.001
9.962 1.466 2.616
F Zr Br
2 1 1
Direct
0.881 0.881 0.881
0.119 0.119 0.119
0.500 0.500 0.500
0.000 0.000 0.000



No. 13
Zr3BrF PBE optimized geometry; energy above the lowest structure with this stoichiometry = 0.00 kJ/mol of atoms; final energy = -6.095 eV/atom; density of states at the Fermi level = 1.214 states/eV per atom
1.0
4.612 0.000 0.000
0.000 4.612 0.000
0.000 0.000 4.612
Zr F Br
3 1 1
Direct
0.000 0.000 0.500
0.500 0.000 0.000
0.000 0.500 0.000
0.000 0.000 0.000
0.500 0.500 0.500



No. 14
ZrBr2F PBE optimized geometry; energy above the lowest structure with this stoichiometry = 144.09 kJ/mol of atoms; final energy = -3.825 eV/atom; density of states at the Fermi level = 1.667 states/eV per atom
1.0
2.153 0.000 8.591
-1.076 1.864 8.591
-1.076 -1.864 8.591
Br Zr F
2 1 1
Direct
0.095 0.095 0.095
0.905 0.905 0.905
0.000 0.000 0.000
0.500 0.500 0.500



No. 15
ZrBr2F PBE optimized geometry; energy above the lowest structure with this stoichiometry = 0.00 kJ/mol of atoms; final energy = -5.318 eV/atom; density of states at the Fermi level = 0.442 states/eV per atom
1.0
10.062 0.000 0.000
0.000 10.062 0.000
5.031 5.031 2.123
Br F Zr
4 2 2
Direct
0.967 0.625 0.250
0.783 0.125 0.250
0.375 0.217 0.750
0.875 0.033 0.750
0.250 0.750 0.500
0.500 0.500 0.000
0.000 0.000 0.000
0.750 0.250 0.500



No. 16
ZrBr2F PBE optimized geometry; energy above the lowest structure with this stoichiometry = 68.13 kJ/mol of atoms; final energy = -4.612 eV/atom; density of states at the Fermi level = 1.085 states/eV per atom
1.0
-2.074 -4.064 1.282
-2.724 -0.151 3.875
-4.694 -0.501 -0.421
Br Zr F
2 1 1
Direct
0.250 0.250 0.250
0.750 0.750 0.750
0.500 0.500 0.500
0.000 0.000 0.000



No. 17
Fe2Br PBE optimized geometry; energy above the lowest structure with this stoichiometry = 35.00 kJ/mol of atoms; final energy = -5.783 eV/atom; density of states at the Fermi level = 0.657 states/eV per atom
1.0
1.594 5.792 -0.008
-1.594 5.792 -0.008
0.000 3.812 5.927
Fe Br
4 2
Direct
0.152 0.152 0.646
0.227 0.227 0.264
0.773 0.773 0.736
0.848 0.848 0.354
0.578 0.578 0.167
0.422 0.422 0.833



No. 18
FeBr2 PBE optimized geometry; final energy = -3.980 eV/atom; density of states at the Fermi level = 0.589 states/eV per atom
1.0
7.327 0.032 0.000
5.825 4.445 0.000
-6.576 -2.238 2.331
Br Fe
2 1
Direct
0.384 0.384 0.000
0.616 0.616 0.000
0.000 0.000 0.000



No. 19
Fe2Br PBE optimized geometry; energy above the lowest structure with this stoichiometry = 80.27 kJ/mol of atoms; final energy = -5.314 eV/atom; density of states at the Fermi level = 0.819 states/eV per atom
1.0
3.071 -5.319 0.000
3.071 5.319 0.000
0.000 0.000 4.195
Br Fe
3 6
Direct
0.000 0.000 0.500
0.333 0.667 0.000
0.667 0.333 0.000
0.575 0.000 0.500
0.000 0.242 0.000
0.242 0.000 0.000
0.000 0.575 0.500
0.758 0.758 0.000
0.425 0.425 0.500



No. 20
Fe4Br3 PBE optimized geometry; energy above the lowest structure with this stoichiometry = 0.00 kJ/mol of atoms; final energy = -5.231 eV/atom; density of states at the Fermi level = 0.633 states/eV per atom
1.0
4.235 6.446 9.867
3.691 9.874 6.761
-6.151 -7.843 -7.582
Fe Br
4 3
Direct
0.576 0.576 0.000
0.884 0.884 0.000
0.116 0.116 0.000
0.424 0.424 0.000
0.321 0.321 0.000
0.000 0.000 0.000
0.679 0.679 0.000



no.,volume (Å³/cell),ΔE_f (raw) (meV per atom)
1,150,-1234.5
2,135,-110.5
3,105,-126.6
4,344,-1571.6
5,62,-1392.8
6,71,-399.3
7,120,-1480.6
8,171,-694.6
9,253,-1729.5
10,58,-1691.2
11,153,-2261.2
12,82,-1938.6
13,98,-257.0
14,103,-383.7
15,215,-1877.1
16,75,-1171.1
17,110,416.2
18,75,-44.1
19,137,885.4
20,133,321.9